First-principles (PBE) data for an optimized crystal structure of OsPd3Rh12, as listed in the Alexandria database.

Summary:
DOS(E_F) ... 1.50 states/eV per atom
Energy of formation from the pure elements ... 0.06 eV/atom

Unit cell a=3.857 b=3.857 c=15.467 alpha=90.00 beta=90.00 gamma=90.00
Fractional positions:
Os  0.000  0.000  0.000
Pd  0.000  0.000  0.250
Pd  0.000  0.000  0.500
Pd  0.000  0.000  0.750
Rh  0.000  0.500  0.121
Rh  0.000  0.500  0.375
Rh  0.000  0.500  0.625
Rh  0.000  0.500  0.879
Rh  0.500  0.000  0.121
Rh  0.500  0.000  0.375
Rh  0.500  0.000  0.625
Rh  0.500  0.000  0.879
Rh  0.500  0.500  0.000
Rh  0.500  0.500  0.248
Rh  0.500  0.500  0.500
Rh  0.500  0.500  0.752